This record from Alexandria via LeMat-Bulk describes a relaxed AlZnIn4 crystal. The functional is GGA-PBE.

```
AlZnIn4
1.0
0.000 4.313 4.313
4.313 0.000 4.313
4.313 4.313 0.000
Al Zn In
1 1 4
Direct
0.000 0.000 0.000
0.250 0.250 0.250
0.125 0.625 0.625
0.625 0.125 0.625
0.625 0.625 0.125
0.625 0.625 0.625
```

Uncorrected energy = -2.316 eV/atom
ρ = 5.71 Mg/m³